Al2CoSe, relaxed, DFT PBE; space-group type = No. 71; ΔE_f (raw) = 6.14 kJ per mole of atoms
1.0
-1.725 2.212 3.897
1.725 -2.212 3.897
1.725 2.212 -3.897
Al Co Se
2 1 1
direct
0.238 0.238 0.000
0.762 0.762 0.000
0.000 0.500 0.500
0.500 0.000 0.500

***

NaScBi2Mo, relaxed, DFT PBE; space-group type = No. 123; formation energy from the elements = 703.6 meV per atom
1.0
5.637 0.000 0.000
0.000 5.637 0.000
0.000 0.000 5.067
Na Sc Bi Mo
1 1 2 1
direct
0.000 0.000 0.000
0.500 0.500 0.500
0.000 0.500 0.500
0.500 0.000 0.500
0.500 0.500 0.000

***

HfCr2Co2, relaxed, DFT PBE; excess energy over the best structure of this formula in the dataset = 32 meV/atom; space-group type = No. 127; formation energy from the elements = 139.7 meV per atom
1.0
7.010 0.000 0.000
0.000 7.010 0.000
0.000 0.000 2.634
Hf Cr Co
2 4 4
direct
0.000 0.000 0.000
0.500 0.500 0.000
0.167 0.333 0.500
0.333 0.833 0.500
0.667 0.167 0.500
0.833 0.667 0.500
0.126 0.626 0.000
0.374 0.126 0.000
0.626 0.874 0.000
0.874 0.374 0.000

***

Computed raw total energy, in the same sequence as the records: -0.164; -0.167; -0.314 Ha/atom.